No. 1
4
Lattice="3.798 0.000 0.000 0.000 3.798 0.000 0.000 0.000 7.781" Properties=species:S:1:pos:R:3 comment="AcHoAgHg PBE optimized geometry" polymorph_energy_ev_per_atom=0.000 magnetic_moment_mub_per_fu=0.0 e_form_mev_per_atom=-368 sg="P4mm (99)" pbc="T T T"
Ac 1.899 1.899 0.863
Ho 1.899 1.899 4.669
Ag 0.000 0.000 3.075
Hg 0.000 0.000 6.395



No. 2
16
Lattice="6.312 0.000 0.000 0.000 6.547 0.171 -3.156 -3.142 4.446" Properties=species:S:1:pos:R:3 comment="Na4HfRh3O8 PBE optimized geometry" magnetic_moment_mub_per_fu=0.1 total_energy_ev_per_atom=-6.321 sg="C2/m (12)" pbc="T T T"
Na 3.156 0.000 0.000
Na 1.578 -1.571 2.223
Na 0.000 0.000 0.000
Na -1.578 -1.571 2.223
Hf 0.000 3.273 0.086
Rh 3.156 3.273 0.086
Rh 1.578 1.702 2.309
Rh -1.578 1.702 2.309
O -1.635 1.604 4.482
O 0.000 3.207 2.204
O 0.000 0.346 2.462
O 1.635 1.604 4.482
O 1.521 1.801 0.136
O 3.156 3.058 2.155
O 3.156 0.197 2.413
O 4.791 1.801 0.136



No. 3
11
Lattice="-6.429 1.789 2.219 -2.949 -2.547 -6.492 0.740 -4.671 5.912" Properties=species:S:1:pos:R:3 comment="NaV2Cl8 PBE optimized geometry" polymorph_energy_ev_per_atom=0.005 magnetic_moment_mub_per_fu=3.0 sg="P-3m1 (164)" pbc="T T T"
Na 0.740 -4.671 5.912
V -1.540 -3.671 2.140
V -7.098 -1.758 -0.501
Cl -2.644 -2.998 -2.038
Cl -5.994 -2.431 3.677
Cl -7.040 -1.600 -2.692
Cl -1.951 -1.604 1.516
Cl -3.003 -5.042 1.240
Cl -1.598 -3.829 4.332
Cl -6.687 -3.825 0.124
Cl -5.635 -0.387 0.400



No. 4
18
Lattice="3.875 0.000 0.000 -1.937 7.702 -2.489 0.000 0.078 9.902" Properties=species:S:1:pos:R:3 comment="TmP2Pd3 PBE optimized geometry" magnetic_moment_mub_per_fu=0.0 e_form_mev_per_atom=-848 sg="C2/m (12)" pbc="T T T"
Tm 0.000 2.311 6.176
Tm 1.937 5.469 1.237
Tm 0.000 0.000 0.000
P 0.000 3.126 0.338
P 1.937 4.654 7.074
P 0.000 7.122 -0.295
P 1.937 0.658 7.707
P 0.000 5.692 3.605
P 1.937 2.088 3.808
Pd 0.000 0.695 3.024
Pd 1.937 7.084 4.389
Pd 0.000 3.597 2.688
Pd 1.937 4.183 4.724
Pd 1.937 1.980 1.367
Pd 0.000 5.800 6.045
Pd 1.937 0.039 4.951
Pd 0.000 4.937 -1.210
Pd 1.937 2.843 8.623



No. 5
9
Lattice="4.376 0.000 0.000 -2.188 3.790 0.000 0.000 0.000 4.121" Properties=species:S:1:pos:R:3 comment="TbNi2H6 PBE optimized geometry" magnetic_moment_mub_per_fu=0.0 total_energy_ev_per_atom=-4.419 sg="P6/mmm (191)" pbc="T T T"
Tb 0.000 0.000 0.000
Ni 0.000 2.527 2.061
Ni 2.188 1.263 2.061
H 2.187 0.000 1.018
H 1.094 1.896 1.018
H -1.094 1.894 1.018
H 1.094 1.894 3.103
H -1.094 1.896 3.103
H 2.189 0.000 3.103



No. 6
4
Lattice="-3.521 1.311 -1.615 -1.257 -0.599 2.254 0.244 4.105 2.801" Properties=species:S:1:pos:R:3 comment="AlCr2Os PBE optimized geometry" magnetic_moment_mub_per_fu=0.0 e_form_mev_per_atom=-37 sg="P2/m (10)" pbc="T T T"
Cr 0.205 4.043 2.835
Cr -0.467 1.816 2.493
Os -2.014 1.532 0.456
Al -2.520 3.286 2.984



No. 7
8
Lattice="4.035 0.000 0.000 0.000 4.035 0.000 0.000 0.000 10.381" Properties=species:S:1:pos:R:3 comment="AcBi2TeO4 PBE optimized geometry" magnetic_moment_mub_per_fu=0.0 total_energy_ev_per_atom=-6.057 sg="P4/mmm (123)" pbc="T T T"
Ac 0.000 0.000 0.000
Bi 2.018 2.018 2.671
Bi 2.018 2.018 7.710
Te 0.000 0.000 5.190
O 0.000 2.018 1.602
O 2.018 0.000 8.778
O 2.018 0.000 1.602
O 0.000 2.018 8.778



No. 8
5
Lattice="3.403 0.000 0.000 0.000 3.403 0.000 0.000 0.000 4.271" Properties=species:S:1:pos:R:3 comment="LiSiNF2 PBE optimized geometry" polymorph_energy_ev_per_atom=1.106 magnetic_moment_mub_per_fu=1.1 sg="P4/mmm (123)" pbc="T T T"
Si 1.701 1.701 2.135
N 0.000 0.000 2.135
Li 0.000 0.000 0.000
F 0.000 1.701 0.000
F 1.701 0.000 0.000